No. 1
La2Dy8Er3: optimized geometry, PBE-GGA.

Properties
Final energy ... -4.448 eV per atom
Symmetry ... P2/m, No. 10
Mass density ... 8184 kg/m³

a b c (Å): 7.7087 5.2760 11.0054
angles (deg): 90.00 109.49 90.00
Last column: nearest neighbours and their distance in Å.
Fractional positions:
La: 0.1928 0.0000 0.0149  1 La 2.88, 3 Dy 3.15-3.17
La: 0.8072 0.0000 0.9851  1 La 2.88, 3 Dy 3.15-3.17
Dy: 0.0273 0.0000 0.3339  3 Dy 3.26-3.58, 3 Er 3.49-3.62, 1 La 3.64
Dy: 0.2498 0.5000 0.8731  2 La 3.17, 2 Dy 3.35, 1 Er 3.41
Dy: 0.2802 0.5000 0.2502  5 Dy 3.54-3.85, 4 Er 3.54-3.78, 2 La 3.60
Dy: 0.4219 0.0000 0.7647  1 La 3.15, 3 Er 3.16-3.45, 3 Dy 3.26-3.35
Dy: 0.5781 0.0000 0.2353  1 La 3.15, 3 Er 3.16-3.45, 3 Dy 3.26-3.35
Dy: 0.7198 0.5000 0.7498  5 Dy 3.54-3.85, 4 Er 3.54-3.78, 2 La 3.60
Dy: 0.7502 0.5000 0.1269  2 La 3.17, 2 Dy 3.35, 1 Er 3.41
Dy: 0.9727 0.0000 0.6661  3 Dy 3.26-3.58, 3 Er 3.49-3.62, 1 La 3.64
Er: 0.2363 0.5000 0.5606  9 Dy 3.41-3.74, 3 Er 3.44-3.53
Er: 0.5000 0.0000 0.5000  4 Dy 3.16-3.49, 4 Er 3.53
Er: 0.7637 0.5000 0.4394  9 Dy 3.41-3.74, 3 Er 3.44-3.53


No. 2
La7Dy4Er: optimized geometry, PBE-GGA.

Properties
Final energy ... -4.763 eV per atom
Symmetry ... P-1, No. 2
Mass density ... 7176 kg/m³

a b c (Å): 6.3561 7.2631 9.6666
angles (deg): 79.69 70.90 89.95
Last column: nearest neighbours and their distance in Å.
Fractional positions:
La: 0.0000 0.0000 0.0000  2 Er 3.63, 2 Dy 3.64, 8 La 3.66-3.69
La: 0.0012 0.3359 0.6659  6 Dy 3.60-3.68, 1 Er 3.64, 5 La 3.64-3.68
La: 0.4967 0.9163 0.3352  6 La 3.62-3.69, 6 Dy 3.63-3.69
La: 0.4993 0.2517 0.9998  7 La 3.61-3.69, 3 Dy 3.64-3.66, 2 Er 3.65-3.66
La: 0.5007 0.7483 0.0002  7 La 3.61-3.69, 3 Dy 3.64-3.66, 2 Er 3.65-3.66
La: 0.5033 0.0837 0.6648  6 La 3.62-3.69, 6 Dy 3.63-3.69
La: 0.9988 0.6641 0.3341  6 Dy 3.60-3.68, 1 Er 3.64, 5 La 3.64-3.68
Dy: 0.0020 0.1690 0.3322  8 La 3.60-3.69, 3 Dy 3.64-3.69, 1 Er 3.65
Dy: 0.4955 0.5832 0.6669  8 La 3.62-3.68, 3 Dy 3.63-3.67, 1 Er 3.65
Dy: 0.5045 0.4168 0.3331  8 La 3.62-3.68, 3 Dy 3.63-3.67, 1 Er 3.65
Dy: 0.9980 0.8310 0.6678  8 La 3.60-3.69, 3 Dy 3.64-3.69, 1 Er 3.65
Er: 0.0000 0.5000 0.0000  8 La 3.63-3.66, 4 Dy 3.65


No. 3
La3Dy3Er2: optimized geometry, PBE-GGA.

Properties
Final energy ... -4.680 eV per atom
Symmetry ... Immm, No. 71
Mass density ... 7707 kg/m³

a b c (Å): 10.8835 10.8835 10.8835
angles (deg): 153.13 152.69 38.69
Last column: nearest neighbours and their distance in Å.
Fractional positions:
La: 0.0000 0.0000 0.0000  8 Dy 3.61-3.65, 4 La 3.64
La: 0.3745 0.8745 0.5000  6 Dy 3.61, 4 Er 3.61, 2 La 3.64
La: 0.6255 0.1255 0.5000  6 Dy 3.61, 4 Er 3.61, 2 La 3.64
Dy: 0.1284 0.6284 0.5000  4 Er 3.54-3.60, 6 La 3.61-3.65, 2 Dy 3.68
Dy: 0.5000 0.5000 0.0000  8 La 3.61, 4 Dy 3.68
Dy: 0.8716 0.3716 0.5000  4 Er 3.54-3.60, 6 La 3.61-3.65, 2 Dy 3.68
Er: 0.2488 0.2488 0.0000  4 Dy 3.54-3.60, 4 Er 3.61, 4 La 3.61
Er: 0.7512 0.7512 0.0000  4 Dy 3.54-3.60, 4 Er 3.61, 4 La 3.61


No. 4
La5Dy6Er: optimized geometry, PBE-GGA.

Properties
Final energy ... -4.707 eV per atom
Symmetry ... P-1, No. 2
Mass density ... 7541 kg/m³

a b c (Å): 6.2149 7.3237 9.6135
angles (deg): 112.37 91.45 90.05
Last column: nearest neighbours and their distance in Å.
Fractional positions:
La: 0.0000 0.0000 0.0000  8 Dy 3.60-3.61, 2 Er 3.66, 2 La 3.67
La: 0.3297 0.3358 0.6714  8 Dy 3.58-3.66, 1 Er 3.61, 3 La 3.66-3.70
La: 0.3344 0.8330 0.6661  8 Dy 3.59-3.63, 4 La 3.66-3.70
La: 0.6656 0.1670 0.3339  8 Dy 3.59-3.63, 4 La 3.66-3.70
La: 0.6703 0.6642 0.3286  8 Dy 3.58-3.66, 1 Er 3.61, 3 La 3.66-3.70
Dy: 0.1682 0.4164 0.3311  7 La 3.59-3.66, 1 Er 3.59, 4 Dy 3.64-3.71
Dy: 0.1682 0.9147 0.3311  7 La 3.59-3.66, 1 Er 3.59, 4 Dy 3.64-3.71
Dy: 0.5002 0.2516 0.0000  6 La 3.58-3.62, 2 Er 3.60, 4 Dy 3.64-3.69
Dy: 0.4998 0.7484 0.0000  6 La 3.58-3.62, 2 Er 3.60, 4 Dy 3.64-3.69
Dy: 0.8318 0.0853 0.6689  7 La 3.59-3.66, 1 Er 3.59, 4 Dy 3.64-3.71
Dy: 0.8318 0.5836 0.6689  7 La 3.59-3.66, 1 Er 3.59, 4 Dy 3.64-3.71
Er: 0.0000 0.5000 0.0000  8 Dy 3.59-3.60, 4 La 3.61-3.66


No. 5
La2DyEr4: optimized geometry, PBE-GGA.

Properties
Final energy ... -4.644 eV per atom
Energy relative to the lowest polymorph listed for this composition ... 0 meV per atom
Symmetry ... P1, No. 1
Mass density ... 8105 kg/m³

a b c (Å): 7.1557 8.0026 8.7759
angles (deg): 111.25 90.30 102.86
Last column: nearest neighbours and their distance in Å.
Fractional positions:
La: 0.0000 0.0000 0.0000  4 La 3.56-3.64, 2 Dy 3.56-3.60, 6 Er 3.58-3.64
La: 0.0707 0.2851 0.4303  8 Er 3.54-3.62, 2 Dy 3.57-3.62, 2 La 3.60-3.62
La: 0.3585 0.4383 0.1469  9 Er 3.53-3.63, 3 La 3.62-3.64
La: 0.4979 0.0002 0.0003  8 Er 3.56-3.63, 3 La 3.56-3.64, 1 Dy 3.59
Dy: 0.7826 0.1456 0.7145  8 Er 3.53-3.62, 3 La 3.57-3.60, 1 Dy 3.58
Dy: 0.9268 0.7188 0.5734  9 Er 3.53-3.59, 2 La 3.56-3.62, 1 Dy 3.58
Er: 0.1397 0.5708 0.8550  6 Er 3.55-3.65, 4 La 3.56-3.59, 2 Dy 3.56-3.57
Er: 0.2133 0.8602 0.2917  7 Er 3.54-3.65, 4 La 3.54-3.61, 1 Dy 3.56
Er: 0.2862 0.1453 0.7135  5 Er 3.54-3.57, 4 La 3.54-3.63, 3 Dy 3.55-3.60
Er: 0.4292 0.7195 0.5745  6 Er 3.55-3.59, 3 Dy 3.55-3.59, 3 La 3.56-3.62
Er: 0.5709 0.2892 0.4326  6 Er 3.51-3.61, 2 Dy 3.54-3.58, 4 La 3.57-3.62
Er: 0.6432 0.5686 0.8524  7 Er 3.51-3.67, 2 Dy 3.53-3.56, 3 La 3.59-3.61
Er: 0.7139 0.8587 0.2912  2 Dy 3.53-3.55, 4 La 3.53-3.62, 6 Er 3.54-3.67
Er: 0.8580 0.4367 0.1464  5 Er 3.54-3.61, 2 Dy 3.57-3.62, 5 La 3.58-3.64


No. 6
La4DyEr10: optimized geometry, PBE-GGA.

Properties
Final energy ... -4.292 eV per atom
Symmetry ... I4/m, No. 87
Mass density ... 7829 kg/m³

a b c (Å): 8.7151 8.7151 8.7151
angles (deg): 111.84 111.84 104.83
Last column: nearest neighbours and their distance in Å.
Fractional positions:
La: 0.0670 0.3358 0.4029  2 Er 3.17, 1 Dy 3.34, 1 La 3.46
La: 0.3358 0.9330 0.2688  2 Er 3.17, 1 Dy 3.34, 1 La 3.46
La: 0.6642 0.0670 0.7312  2 Er 3.17, 1 Dy 3.34, 1 La 3.46
La: 0.9330 0.6642 0.5971  2 Er 3.17, 1 Dy 3.34, 1 La 3.46
Dy: 0.0000 0.0000 0.0000  4 La 3.34
Er: 0.1300 0.4523 0.9042  5 Er 3.19-3.42
Er: 0.2258 0.1300 0.6777  5 Er 3.19-3.42
Er: 0.2500 0.7500 0.5000  4 La 3.17, 4 Er 3.19
Er: 0.4523 0.5482 0.3223  5 Er 3.19-3.42
Er: 0.4518 0.7742 0.9042  5 Er 3.19-3.42
Er: 0.5482 0.2258 0.0958  5 Er 3.19-3.42
Er: 0.5477 0.4518 0.6777  5 Er 3.19-3.42
Er: 0.7500 0.2500 0.5000  4 La 3.17, 4 Er 3.19
Er: 0.7742 0.8700 0.3223  5 Er 3.19-3.42
Er: 0.8700 0.5477 0.0958  5 Er 3.19-3.42


No. 7
LaDyEr3: optimized geometry, PBE-GGA.

Properties
Final energy ... -4.462 eV per atom
Energy relative to the lowest polymorph listed for this composition ... 0 meV per atom
Symmetry ... Cmcm, No. 63
Mass density ... 7973 kg/m³

a b c (Å): 6.5110 6.5110 10.3290
angles (deg): 90.00 90.00 130.18
Last column: nearest neighbours and their distance in Å.
Fractional positions:
La: 0.0513 0.9487 0.7500  5 Er 3.28-3.65
La: 0.9487 0.0513 0.2500  5 Er 3.28-3.65
Dy: 0.5000 0.5000 0.0000  6 Er 3.28-3.63
Dy: 0.5000 0.5000 0.5000  6 Er 3.28-3.63
Er: 0.1931 0.8069 0.0637  5 Er 3.33-3.61, 2 La 3.47-3.65, 3 Dy 3.63-3.68
Er: 0.1931 0.8069 0.4363  5 Er 3.33-3.61, 2 La 3.47-3.65, 3 Dy 3.63-3.68
Er: 0.3286 0.6714 0.7500  1 La 3.28, 2 Dy 3.28, 6 Er 3.36-3.61
Er: 0.6714 0.3286 0.2500  1 La 3.28, 2 Dy 3.28, 6 Er 3.36-3.61
Er: 0.8069 0.1931 0.5637  5 Er 3.33-3.61, 2 La 3.47-3.65, 3 Dy 3.63-3.68
Er: 0.8069 0.1931 0.9363  5 Er 3.33-3.61, 2 La 3.47-3.65, 3 Dy 3.63-3.68


No. 8
LaDy9Er2: optimized geometry, PBE-GGA.

Properties
Final energy ... -4.596 eV per atom
Energy relative to the lowest polymorph listed for this composition ... 0 meV per atom
Symmetry ... P4/mmm, No. 123
Mass density ... 8424 kg/m³

a b c (Å): 5.0254 5.0254 15.1097
angles (deg): 90.00 90.00 90.00
Last column: nearest neighbours and their distance in Å.
Fractional positions:
La: 0.0000 0.0000 0.0000  12 Dy 3.55-3.60
Dy: 0.0000 0.5000 0.1709  2 Er 3.53, 8 Dy 3.54-3.60, 2 La 3.60
Dy: 0.0000 0.5000 0.5000  8 Dy 3.53-3.55, 4 Er 3.54
Dy: 0.0000 0.5000 0.8291  2 Er 3.53, 8 Dy 3.54-3.60, 2 La 3.60
Dy: 0.5000 0.0000 0.1709  2 Er 3.53, 8 Dy 3.54-3.60, 2 La 3.60
Dy: 0.5000 0.0000 0.5000  8 Dy 3.53-3.55, 4 Er 3.54
Dy: 0.5000 0.0000 0.8291  2 Er 3.53, 8 Dy 3.54-3.60, 2 La 3.60
Dy: 0.5000 0.5000 0.0000  4 La 3.55, 8 Dy 3.60
Dy: 0.5000 0.5000 0.3361  8 Dy 3.53-3.54, 4 Er 3.55
Dy: 0.5000 0.5000 0.6639  8 Dy 3.53-3.54, 4 Er 3.55
Er: 0.0000 0.0000 0.3348  12 Dy 3.53-3.55
Er: 0.0000 0.0000 0.6652  12 Dy 3.53-3.55


E_form (computed, kJ/mol of formula units): 245; 29; 26; 32; 19; 536; 88; 31